The following is a DFT calculation (PBE-GGA) of a geometry-optimized Cr2ReCl structure.

Cell lengths 2.8652, 4.3220, 4.4626 Å; angles 90.00, 90.00, 90.00 degrees
Positions (direct):
Cr1 0.0000 0.0000 0.0000
Cr2 0.5000 0.0000 0.5000
Re1 0.0000 0.5000 0.5000
Cl1 0.5000 0.5000 0.0000

Uncorrected formation energy   0.86 eV/atom
N(E_F)   3.7 states/eV per cell
VASP energy   -7.527 eV/atom